[1]
VASP calculation (PBE) on crystalline ZrSbMo at its relaxed geometry.

Properties
theoretical density	8.4	g/cm³
Fermi-level density of states	0.885	states/eV/atom
magnetization	0.0	μB per cell
total DFT energy (no corrections)	-23.28	eV per formula unit
relative energy among the computed polymorphs	0.600	eV/f.u.

a b c (Å): 7.0717 6.8342 3.1428
angles (deg): 81.20 72.75 26.05
Element x y z (fractional)
Zr 0.0000 0.0000 0.0000
Sb 0.3200 0.3200 0.6800
Mo 0.6608 0.6608 0.3392



[2]
VASP calculation (PBE) on crystalline ZrSb2Mo at its relaxed geometry.

Properties
theoretical density	8.4	g/cm³
Fermi-level density of states	1.148	states/eV/atom
magnetization	0.0	μB per cell
total DFT energy (no corrections)	-27.21	eV per formula unit
relative energy among the computed polymorphs	1.276	eV/f.u.

a b c (Å): 5.4916 5.4916 5.4916
angles (deg): 141.63 122.37 71.37
Element x y z (fractional)
Zr 0.0000 0.0000 0.0000
Sb 0.2661 0.7661 0.5000
Sb 0.7339 0.2339 0.5000
Mo 0.5000 0.5000 0.0000



[3]
VASP calculation (PBE) on crystalline ZrSbMo3 at its relaxed geometry.

Properties
theoretical density	7.2	g/cm³
Fermi-level density of states	1.915	states/eV/atom
magnetization	0.2	μB per cell
total DFT energy (no corrections)	-37.21	eV per formula unit
relative energy among the computed polymorphs	0.000	eV/f.u.

a b c (Å): 4.8644 4.8644 4.8644
angles (deg): 90.00 90.00 90.00
Element x y z (fractional)
Zr 0.0000 0.0000 0.0000
Sb 0.5000 0.5000 0.5000
Mo 0.0000 0.5000 0.5000
Mo 0.5000 0.0000 0.5000
Mo 0.5000 0.5000 0.0000



[4]
VASP calculation (PBE) on crystalline ZrSb2Mo at its relaxed geometry.

Properties
theoretical density	7.8	g/cm³
Fermi-level density of states	0.954	states/eV/atom
magnetization	0.0	μB per cell
total DFT energy (no corrections)	-26.45	eV per formula unit
relative energy among the computed polymorphs	2.038	eV/f.u.

a b c (Å): 10.4076 10.4076 10.4076
angles (deg): 156.21 156.21 33.89
Element x y z (fractional)
Zr 0.0000 0.0000 0.0000
Zr 0.7500 0.2500 0.5000
Sb 0.1386 0.6250 0.0136
Sb 0.3750 0.3886 0.5136
Sb 0.6114 0.1250 0.9864
Sb 0.8750 0.8614 0.4864
Mo 0.2500 0.7500 0.5000
Mo 0.5000 0.5000 0.0000



[5]
VASP calculation (PBE) on crystalline ZrSb2Mo at its relaxed geometry.

Properties
theoretical density	8.5	g/cm³
Fermi-level density of states	1.053	states/eV/atom
magnetization	0.0	μB per cell
total DFT energy (no corrections)	-27.45	eV per formula unit
relative energy among the computed polymorphs	1.041	eV/f.u.

a b c (Å): 9.1422 9.1422 9.1422
angles (deg): 20.83 20.83 20.83
Element x y z (fractional)
Zr 0.0000 0.0000 0.0000
Sb 0.2425 0.2425 0.2425
Sb 0.7575 0.7575 0.7575
Mo 0.5000 0.5000 0.5000



[6]
VASP calculation (PBE) on crystalline ZrSb2Mo at its relaxed geometry.

Properties
theoretical density	8.5	g/cm³
Fermi-level density of states	0.729	states/eV/atom
magnetization	0.0	μB per cell
total DFT energy (no corrections)	-27.65	eV per formula unit
relative energy among the computed polymorphs	0.832	eV/f.u.

a b c (Å): 5.6624 5.6624 5.6624
angles (deg): 142.69 129.38 64.54
Element x y z (fractional)
Zr 0.0000 0.0000 0.0000
Sb 0.4677 0.4677 0.0000
Sb 0.7478 0.2478 0.5000
Mo 0.2456 0.7456 0.5000